Here is a relaxed Rb2Na2Tl15 crystal from Alexandria via LeMat-Bulk. Energies are from PBE.

Properties
* mass density: 8.5 g cm⁻³
* formation energy: -39 meV per atom

extended XYZ file:
```
19
Lattice="-1.6573 -1.5246 8.3918 -5.3218 -6.7716 -1.1480 5.9185 -6.2535 1.1660" Properties=species:S:1:pos:R:3 pbc="T T T"
Tl 1.9528 -6.0124 5.9820
Tl 2.9592 -3.1267 0.5830
Tl -1.1986 -5.9389 7.1521
Tl -0.8286 -0.7623 4.1959
Tl -2.0423 -6.6204 -0.4729
Tl -2.7264 -3.0555 5.6085
Tl -3.6137 -6.2689 4.8361
Tl 0.1380 -8.6108 1.2577
Tl 0.5531 -2.9043 6.2836
Tl -4.2526 -5.2407 1.6354
Tl -2.6609 -3.3858 -0.5740
Tl 2.6390 -6.4046 0.4908
Tl -3.0134 -8.5373 2.4278
Tl 2.5531 -8.2807 3.5737
Tl 3.7082 -4.8738 3.2742
Rb -0.6948 -9.5315 5.5093
Rb -0.3658 -5.0182 2.9005
Na -0.1095 -1.5026 0.8685
Na -0.9511 -13.0471 7.5413
```